1.
Below is VBr after structural relaxation, with properties calculated at the PBE-GGA level.

Values from the calculation:
- calculated total energy (eV/atom) = -4.982
- M_tot (μB per formula unit) = 3.99
- space-group type = F-43m, No. 216
- ΔE_f (raw) (eV/atom) = 0.413
- calculated volume (Å³ per cell) = 55.7

Cell lengths 4.288, 4.288, 4.288 Å; angles 60.00, 60.00, 60.00 degrees
Sites, in units of the cell vectors:
V  0.000  0.000  0.000
Br  0.750  0.750  0.750


2.
Below is VBr2 after structural relaxation, with properties calculated at the PBE-GGA level.

Values from the calculation:
- calculated total energy (eV/atom) = -4.960
- M_tot (μB per formula unit) = 3.00
- space-group type = C2/m, No. 12
- ΔE_f (raw) (eV/atom) = -0.805
- calculated volume (Å³ per cell) = 88.0

Cell lengths 3.840, 3.840, 7.183 Å; angles 104.12, 104.12, 59.99 degrees
Sites, in units of the cell vectors:
V  0.000  0.000  0.000
Br  0.270  0.270  0.790
Br  0.730  0.730  0.210